The following is a GGA-PBE calculation of a relaxed structure of PmSc2Ir, from Alexandria.

Results
**Formation enthalpy at 0 K**: -0.3180 eV/atom
**Energy above the most stable polymorph in this dataset**: 0.950 eV/f.u.
**Magnetic moment**: 0.00 μB per cell
**Final energy**: -6.89 eV per atom

CIF file:
```
data_PmSc2Ir
_space_group_name_H-M_alt 'R -3 m'
_space_group_IT_number 166
_space_group_name_Hall '-R 3 2"'
_cell_length_a 4.4415
_cell_length_b 4.4415
_cell_length_c 17.2440
_cell_angle_alpha 90.00
_cell_angle_beta 90.00
_cell_angle_gamma 120.00
loop_
_atom_site_label
_atom_site_type_symbol
_atom_site_fract_x
_atom_site_fract_y
_atom_site_fract_z
Pm1 Pm 0.0000 0.0000 0.0000
Sc1 Sc 0.0000 0.0000 0.2132
Ir1 Ir 0.0000 0.0000 0.5000
```



The following is a GGA-PBE calculation of a relaxed structure of Ta2TcP, from Alexandria.

Results
**Formation enthalpy at 0 K**: -0.3063 eV/atom
**Magnetic moment**: 0.00 μB per cell
**Final energy**: -10.18 eV per atom

CIF file:
```
data_Ta2TcP
_space_group_name_H-M_alt 'P 4/m m m'
_space_group_IT_number 123
_space_group_name_Hall '-P 4 2'
_cell_length_a 3.265
_cell_length_b 3.265
_cell_length_c 5.889
_cell_angle_alpha 90.00
_cell_angle_beta 90.00
_cell_angle_gamma 90.00
loop_
_atom_site_label
_atom_site_type_symbol
_atom_site_fract_x
_atom_site_fract_y
_atom_site_fract_z
Ta1 Ta 0.000 0.000 0.238
Tc1 Tc 0.500 0.500 0.500
P1 P 0.500 0.500 0.000
```



The following is a GGA-PBE calculation of a relaxed structure of PrPaRh2, from Alexandria.

Results
**Formation enthalpy at 0 K**: -0.7139 eV/atom
**Energy above the most stable polymorph in this dataset**: 0.000 eV/f.u.
**Magnetic moment**: 0.00 μB per cell
**Final energy**: -7.96 eV per atom

CIF file:
```
data_PrPaRh2
_space_group_name_H-M_alt 'R -3 m'
_space_group_IT_number 166
_space_group_name_Hall '-R 3 2"'
_cell_length_a 3.9592
_cell_length_b 3.9592
_cell_length_c 20.8806
_cell_angle_alpha 90.00
_cell_angle_beta 90.00
_cell_angle_gamma 120.00
loop_
_atom_site_label
_atom_site_type_symbol
_atom_site_fract_x
_atom_site_fract_y
_atom_site_fract_z
Pr1 Pr 0.0000 0.0000 0.0000
Pa1 Pa 0.0000 0.0000 0.5000
Rh1 Rh 0.0000 0.0000 0.2399
```



The following is a GGA-PBE calculation of a relaxed structure of Nd6RhSe5, from Alexandria.

Results
**Magnetic moment**: 0.00 μB per cell
**Final energy**: -6.10 eV per atom
**Formation energy from raw total energies**: -19.819 eV/f.u.

CIF file:
```
data_Nd6RhSe5
_space_group_name_H-M_alt 'C 1 2/m 1'
_space_group_IT_number 12
_cell_length_a 7.359
_cell_length_b 12.701
_cell_length_c 7.322
_cell_angle_alpha 90.00
_cell_angle_beta 109.58
_cell_angle_gamma 90.00
loop_
_space_group_symop_operation_xyz
'x,y,z'
'-x,-y,-z'
'-x,y,-z'
'x,-y,z'
'x+1/2,y+1/2,z'
'-x+1/2,-y+1/2,-z'
'-x+1/2,y+1/2,-z'
'x+1/2,-y+1/2,z'
loop_
_atom_site_label
_atom_site_type_symbol
_atom_site_fract_x
_atom_site_fract_y
_atom_site_fract_z
Nd1 Nd 0.240 0.000 0.255
Nd2 Nd 0.240 0.161 0.740
Rh1 Rh 0.000 0.000 0.500
Se1 Se 0.000 0.173 0.000
Se2 Se 0.000 0.334 0.500
Se3 Se 0.000 0.500 0.000
```



The following is a GGA-PBE calculation of a relaxed structure of SrCaMg2Pd, from Alexandria.

Results
**Formation enthalpy at 0 K**: -0.2842 eV/atom
**Energy above the most stable polymorph in this dataset**: 0.000 eV/f.u.
**Magnetic moment**: 0.00 μB per cell
**Final energy**: -2.70 eV per atom

CIF file:
```
data_SrCaMg2Pd
_space_group_name_H-M_alt 'P 4/m m m'
_space_group_IT_number 123
_space_group_name_Hall '-P 4 2'
_cell_length_a 5.283
_cell_length_b 5.283
_cell_length_c 5.421
_cell_angle_alpha 90.00
_cell_angle_beta 90.00
_cell_angle_gamma 90.00
loop_
_atom_site_label
_atom_site_type_symbol
_atom_site_fract_x
_atom_site_fract_y
_atom_site_fract_z
Sr1 Sr 0.000 0.000 0.000
Ca1 Ca 0.500 0.500 0.000
Mg1 Mg 0.000 0.500 0.500
Pd1 Pd 0.500 0.500 0.500
```



The following is a GGA-PBE calculation of a relaxed structure of RbNaSnSe3, from Alexandria.

Results
**Magnetic moment**: 0.00 μB per cell
**Final energy**: -3.49 eV per atom
**Formation energy from raw total energies**: -4.173 eV/f.u.

CIF file:
```
data_RbNaSnSe3
_space_group_name_H-M_alt 'C 1 2/m 1'
_space_group_IT_number 12
_cell_length_a 10.507
_cell_length_b 9.023
_cell_length_c 10.286
_cell_angle_alpha 90.00
_cell_angle_beta 106.23
_cell_angle_gamma 90.00
loop_
_space_group_symop_operation_xyz
'x,y,z'
'-x,-y,-z'
'-x,y,-z'
'x,-y,z'
'x+1/2,y+1/2,z'
'-x+1/2,-y+1/2,-z'
'-x+1/2,y+1/2,-z'
'x+1/2,-y+1/2,z'
loop_
_atom_site_label
_atom_site_type_symbol
_atom_site_fract_x
_atom_site_fract_y
_atom_site_fract_z
Rb1 Rb 0.186 0.000 0.153
Na1 Na 0.000 0.209 0.500
Sn1 Sn 0.080 0.500 0.280
Se1 Se 0.040 0.266 0.794
Se2 Se 0.229 0.000 0.514
```